# ZrBeCo4

Crystalline ZrBeCo4 at its relaxed geometry (PBE, Alexandria via LeMat-Bulk).

Summary:
space-group type: No. 63
energy above the most stable polymorph in this dataset: 0 meV/atom
DOS at the Fermi energy: 7.2 states/eV/f.u.
E_form: -0.1491 eV/atom
mass density: 7.808 g/cm3

Lattice parameters (Å, degrees): 3.619 5.725 7.131 90.00 104.70 90.00
Each line ends with the local moment (μB).
Atoms (fractional coordinates):
1 Zr 0.120 0.250 0.240  -0.24
2 Zr 0.880 0.750 0.760  -0.24
3 Be 0.225 0.750 0.451  -0.05
4 Be 0.775 0.250 0.549  -0.05
5 Co 0.500 0.500 0.000  1.35
6 Co 0.500 0.000 0.000  1.35
7 Co 0.681 0.948 0.362  0.56
8 Co 0.319 0.052 0.638  0.56
9 Co 0.319 0.448 0.638  0.56
10 Co 0.681 0.552 0.362  0.56
11 Co 0.072 0.750 0.144  1.12
12 Co 0.928 0.250 0.856  1.12